# CsY3Ta GGA-PBE optimized geometry
# - Distance to the lowest polymorph of the same formula: 0.0000 eV/atom
# - Energy relative to the elements: 70.8 kJ per mole of atoms
data_CsY3Ta
_chemical_formula_sum 'Cs1 Y3 Ta1'
_cell_length_a 5.774
_cell_length_b 5.774
_cell_length_c 5.774
_cell_angle_alpha 90.00
_cell_angle_beta 90.00
_cell_angle_gamma 90.00
_symmetry_space_group_name_H-M 'P m -3 m'
_symmetry_Int_Tables_number 221
_symmetry_space_group_name_Hall '-P 4 2 3'
loop_
_atom_site_label
_atom_site_fract_x
_atom_site_fract_y
_atom_site_fract_z
_atom_site_occupancy
Cs1 0.000 0.000 0.000 1
Y1 0.000 0.500 0.500 1
Ta1 0.500 0.500 0.500 1

=====

# CsYTa3 GGA-PBE optimized geometry
# - Distance to the lowest polymorph of the same formula: 0.0070 eV/atom
# - Energy relative to the elements: 248.1 kJ per mole of atoms
data_CsYTa3
_chemical_formula_sum 'Cs1 Y1 Ta3'
_cell_length_a 5.088
_cell_length_b 5.088
_cell_length_c 5.088
_cell_angle_alpha 90.00
_cell_angle_beta 90.00
_cell_angle_gamma 90.00
_symmetry_space_group_name_H-M 'P m -3 m'
_symmetry_Int_Tables_number 221
_symmetry_space_group_name_Hall '-P 4 2 3'
loop_
_atom_site_label
_atom_site_fract_x
_atom_site_fract_y
_atom_site_fract_z
_atom_site_occupancy
Cs1 0.000 0.000 0.000 1
Y1 0.500 0.500 0.500 1
Ta1 0.000 0.000 0.500 1

=====

# CsTaZn3 GGA-PBE optimized geometry
# - Energy relative to the elements: 199.2 kJ per mole of atoms
data_CsTaZn3
_chemical_formula_sum 'Cs1 Ta1 Zn3'
_cell_length_a 6.435
_cell_length_b 6.435
_cell_length_c 6.435
_cell_angle_alpha 90.00
_cell_angle_beta 90.00
_cell_angle_gamma 90.00
_symmetry_space_group_name_H-M 'P m -3 m'
_symmetry_Int_Tables_number 221
_symmetry_space_group_name_Hall '-P 4 2 3'
loop_
_atom_site_label
_atom_site_fract_x
_atom_site_fract_y
_atom_site_fract_z
_atom_site_occupancy
Cs1 0.000 0.000 0.000 1
Ta1 0.500 0.500 0.500 1
Zn1 0.000 0.000 0.500 1

=====

# Cs3TaZn GGA-PBE optimized geometry
# - Distance to the lowest polymorph of the same formula: 0.0000 eV/atom
# - Energy relative to the elements: 136.7 kJ per mole of atoms
data_Cs3TaZn
_chemical_formula_sum 'Cs3 Ta1 Zn1'
_cell_length_a 6.745
_cell_length_b 6.745
_cell_length_c 6.745
_cell_angle_alpha 90.00
_cell_angle_beta 90.00
_cell_angle_gamma 90.00
_symmetry_space_group_name_H-M 'P m -3 m'
_symmetry_Int_Tables_number 221
_symmetry_space_group_name_Hall '-P 4 2 3'
loop_
_atom_site_label
_atom_site_fract_x
_atom_site_fract_y
_atom_site_fract_z
_atom_site_occupancy
Cs1 0.000 0.000 0.500 1
Ta1 0.500 0.500 0.500 1
Zn1 0.000 0.000 0.000 1

=====

# Cs2TaZn GGA-PBE optimized geometry
# - Energy relative to the elements: 148.1 kJ per mole of atoms
data_Cs2TaZn
_chemical_formula_sum 'Cs8 Ta4 Zn4'
_cell_length_a 8.708
_cell_length_b 8.708
_cell_length_c 8.708
_cell_angle_alpha 90.00
_cell_angle_beta 90.00
_cell_angle_gamma 90.00
_symmetry_space_group_name_H-M 'F m -3 m'
_symmetry_Int_Tables_number 225
_symmetry_space_group_name_Hall '-F 4 2 3'
loop_
_atom_site_label
_atom_site_fract_x
_atom_site_fract_y
_atom_site_fract_z
_atom_site_occupancy
Cs1 0.250 0.250 0.250 1
Ta1 0.000 0.000 0.000 1
Zn1 0.000 0.000 0.500 1

=====

# Cs2ZrTa GGA-PBE optimized geometry
# - Energy relative to the elements: 219.2 kJ per mole of atoms
data_Cs2ZrTa
_chemical_formula_sum 'Cs8 Zr4 Ta4'
_cell_length_a 8.249
_cell_length_b 8.249
_cell_length_c 8.249
_cell_angle_alpha 90.00
_cell_angle_beta 90.00
_cell_angle_gamma 90.00
_symmetry_space_group_name_H-M 'F m -3 m'
_symmetry_Int_Tables_number 225
_symmetry_space_group_name_Hall '-F 4 2 3'
loop_
_atom_site_label
_atom_site_fract_x
_atom_site_fract_y
_atom_site_fract_z
_atom_site_occupancy
Cs1 0.250 0.250 0.250 1
Zr1 0.000 0.000 0.000 1
Ta1 0.000 0.000 0.500 1

=====

no.,DOS at the Fermi energy (states/eV per cell)
1,8.40
2,2.92
3,5.08
4,8.07
5,7.64
6,22.96